Computed, not measured: a relaxed Ag2OF crystal at the GGA-PBE level of DFT.

Cell lengths 4.196, 4.196, 4.196 Å; angles 60.00, 60.00, 60.00 degrees
Site moments in Bohr magnetons follow the coordinates.
Atoms (fractional coordinates):
O 0.000 0.000 0.000  0.55
Ag 0.250 0.250 0.250  0.18
Ag 0.750 0.750 0.750  0.18
F 0.500 0.500 0.500  0.04

Values from the calculation:
- formation energy (no corrections) (kJ/mol of atoms) = -24.9
- N(E_F) (states/eV/atom) = 1.106